1.
AgTe | GGA-PBE | optimized geometry

Space group   Pmmn, No. 59
Uncorrected formation energy   0.05 eV/atom

Structure (CIF):
```
data_AgTe
_cell_length_a 3.8966
_cell_length_b 13.7959
_cell_length_c 6.3722
_cell_angle_alpha 90.00
_cell_angle_beta 90.00
_cell_angle_gamma 90.00
_symmetry_space_group_name_H-M 'P 1'
_symmetry_Int_Tables_number 1
loop_
_symmetry_equiv_pos_as_xyz
'x,y,z'
loop_
_atom_site_label
_atom_site_fract_x
_atom_site_fract_y
_atom_site_fract_z
_atom_site_occupancy
Ag1 0.2500 0.0770 0.0263 1
Ag2 0.2500 0.4230 0.0263 1
Ag3 0.2500 0.7500 0.4912 1
Ag4 0.7500 0.2500 0.5088 1
Ag5 0.7500 0.5770 0.9737 1
Ag6 0.7500 0.9230 0.9737 1
Te1 0.2500 0.2500 0.8228 1
Te2 0.2500 0.5585 0.6528 1
Te3 0.2500 0.9415 0.6528 1
Te4 0.7500 0.0585 0.3472 1
Te5 0.7500 0.4415 0.3472 1
Te6 0.7500 0.7500 0.1772 1
```

---

2.
AgTe | GGA-PBE | optimized geometry

Space group   P6_3/m, No. 176
Uncorrected formation energy   0.05 eV/atom

Structure (CIF):
```
data_AgTe
_cell_length_a 9.1457
_cell_length_b 9.1457
_cell_length_c 4.8604
_cell_angle_alpha 90.00
_cell_angle_beta 90.00
_cell_angle_gamma 120.00
_symmetry_space_group_name_H-M 'P 1'
_symmetry_Int_Tables_number 1
loop_
_symmetry_equiv_pos_as_xyz
'x,y,z'
loop_
_atom_site_label
_atom_site_fract_x
_atom_site_fract_y
_atom_site_fract_z
_atom_site_occupancy
Ag1 0.0935 0.4804 0.2500 1
Ag2 0.3868 0.9065 0.2500 1
Ag3 0.4804 0.3868 0.7500 1
Ag4 0.5196 0.6132 0.2500 1
Ag5 0.6132 0.0935 0.7500 1
Ag6 0.9065 0.5196 0.7500 1
Te1 0.0368 0.7460 0.2500 1
Te2 0.2540 0.2908 0.2500 1
Te3 0.2908 0.0368 0.7500 1
Te4 0.7092 0.9632 0.2500 1
Te5 0.7460 0.7092 0.7500 1
Te6 0.9632 0.2540 0.7500 1
```

---

3.
AgTe | GGA-PBE | optimized geometry

Space group   P6_3/mmc, No. 194
Uncorrected formation energy   0.19 eV/atom

Structure (CIF):
```
data_AgTe
_cell_length_a 4.6424
_cell_length_b 4.6424
_cell_length_c 11.2713
_cell_angle_alpha 90.00
_cell_angle_beta 90.00
_cell_angle_gamma 120.00
_symmetry_space_group_name_H-M 'P 1'
_symmetry_Int_Tables_number 1
loop_
_symmetry_equiv_pos_as_xyz
'x,y,z'
loop_
_atom_site_label
_atom_site_fract_x
_atom_site_fract_y
_atom_site_fract_z
_atom_site_occupancy
Ag1 0.0000 0.0000 0.2500 1
Ag2 0.0000 0.0000 0.7500 1
Ag3 0.3333 0.6667 0.2500 1
Ag4 0.6667 0.3333 0.7500 1
Te1 0.3333 0.6667 0.5988 1
Te2 0.3333 0.6667 0.9012 1
Te3 0.6667 0.3333 0.0988 1
Te4 0.6667 0.3333 0.4012 1
```

---

4.
Ag11Te | GGA-PBE | optimized geometry

Space group   I4_1/amd, No. 141
Uncorrected formation energy   0.14 eV/atom

Structure (CIF):
```
data_Ag11Te
_cell_length_a 8.8644
_cell_length_b 8.8644
_cell_length_c 8.8644
_cell_angle_alpha 100.13
_cell_angle_beta 100.13
_cell_angle_gamma 130.42
_symmetry_space_group_name_H-M 'P 1'
_symmetry_Int_Tables_number 1
loop_
_symmetry_equiv_pos_as_xyz
'x,y,z'
loop_
_atom_site_label
_atom_site_fract_x
_atom_site_fract_y
_atom_site_fract_z
_atom_site_occupancy
Ag1 0.0000 0.0000 0.0000 1
Ag2 0.0000 0.0000 0.5000 1
Ag3 0.0000 0.5000 0.0000 1
Ag4 0.1250 0.8750 0.2500 1
Ag5 0.1276 0.5537 0.3291 1
Ag6 0.1276 0.7985 0.5740 1
Ag7 0.2015 0.2754 0.3291 1
Ag8 0.2015 0.8724 0.9260 1
Ag9 0.2754 0.2015 0.8291 1
Ag10 0.2754 0.4463 0.0740 1
Ag11 0.4463 0.2754 0.5740 1
Ag12 0.4463 0.8724 0.1709 1
Ag13 0.5000 0.0000 0.5000 1
Ag14 0.5537 0.1276 0.8291 1
Ag15 0.5537 0.7246 0.4260 1
Ag16 0.7246 0.5537 0.9260 1
Ag17 0.7246 0.7985 0.1709 1
Ag18 0.7985 0.1276 0.0740 1
Ag19 0.7985 0.7246 0.6709 1
Ag20 0.8724 0.2015 0.4260 1
Ag21 0.8724 0.4463 0.6709 1
Ag22 0.8750 0.1250 0.7500 1
Te1 0.3750 0.6250 0.7500 1
Te2 0.6250 0.3750 0.2500 1
```

---

5.
AgTe | GGA-PBE | optimized geometry

Space group   P4_2/mnm, No. 136
Uncorrected formation energy   0.09 eV/atom

Structure (CIF):
```
data_AgTe
_cell_length_a 7.1172
_cell_length_b 7.1172
_cell_length_c 5.0805
_cell_angle_alpha 90.00
_cell_angle_beta 90.00
_cell_angle_gamma 90.00
_symmetry_space_group_name_H-M 'P 1'
_symmetry_Int_Tables_number 1
loop_
_symmetry_equiv_pos_as_xyz
'x,y,z'
loop_
_atom_site_label
_atom_site_fract_x
_atom_site_fract_y
_atom_site_fract_z
_atom_site_occupancy
Ag1 0.2484 0.2484 0.0000 1
Ag2 0.2516 0.7484 0.5000 1
Ag3 0.7484 0.2516 0.5000 1
Ag4 0.7516 0.7516 0.0000 1
Te1 0.1473 0.8527 0.0000 1
Te2 0.3527 0.3527 0.5000 1
Te3 0.6473 0.6473 0.5000 1
Te4 0.8527 0.1473 0.0000 1
```

---

6.
Ag3Te5 | GGA-PBE | optimized geometry

Space group   P4/mmm, No. 123
Uncorrected formation energy   0.17 eV/atom

Structure (CIF):
```
data_Ag3Te5
_cell_length_a 3.9877
_cell_length_b 3.9877
_cell_length_c 15.2442
_cell_angle_alpha 90.00
_cell_angle_beta 90.00
_cell_angle_gamma 90.00
_symmetry_space_group_name_H-M 'P 1'
_symmetry_Int_Tables_number 1
loop_
_symmetry_equiv_pos_as_xyz
'x,y,z'
loop_
_atom_site_label
_atom_site_fract_x
_atom_site_fract_y
_atom_site_fract_z
_atom_site_occupancy
Ag1 0.0000 0.0000 0.0000 1
Ag2 0.5000 0.5000 0.2924 1
Ag3 0.5000 0.5000 0.7076 1
Te1 0.0000 0.0000 0.3044 1
Te2 0.0000 0.0000 0.5000 1
Te3 0.0000 0.0000 0.6956 1
Te4 0.5000 0.5000 0.0931 1
Te5 0.5000 0.5000 0.9069 1
```

---

7.
AgTe | GGA-PBE | optimized geometry

Space group   P6_3mc, No. 186
Uncorrected formation energy   0.09 eV/atom

Structure (CIF):
```
data_AgTe
_cell_length_a 4.2631
_cell_length_b 4.2631
_cell_length_c 7.9366
_cell_angle_alpha 90.00
_cell_angle_beta 90.00
_cell_angle_gamma 120.00
_symmetry_space_group_name_H-M 'P 1'
_symmetry_Int_Tables_number 1
loop_
_symmetry_equiv_pos_as_xyz
'x,y,z'
loop_
_atom_site_label
_atom_site_fract_x
_atom_site_fract_y
_atom_site_fract_z
_atom_site_occupancy
Ag1 0.3333 0.6667 0.0000 1
Ag2 0.6667 0.3333 0.5000 1
Te1 0.3333 0.6667 0.3437 1
Te2 0.6667 0.3333 0.8437 1
```

---

8.
AgTe3 | GGA-PBE | optimized geometry

Space group   P2/m, No. 10
Uncorrected formation energy   0.04 eV/atom

Structure (CIF):
```
data_AgTe3
_cell_length_a 3.1506
_cell_length_b 4.2360
_cell_length_c 8.7547
_cell_angle_alpha 90.00
_cell_angle_beta 92.67
_cell_angle_gamma 90.00
_symmetry_space_group_name_H-M 'P 1'
_symmetry_Int_Tables_number 1
loop_
_symmetry_equiv_pos_as_xyz
'x,y,z'
loop_
_atom_site_label
_atom_site_fract_x
_atom_site_fract_y
_atom_site_fract_z
_atom_site_occupancy
Ag1 0.0000 0.0000 0.0000 1
Te1 0.0000 0.0000 0.5000 1
Te2 0.0223 0.5000 0.7838 1
Te3 0.9777 0.5000 0.2162 1
```